No. 1
Computed, not measured: crystalline PrBe2SiN at its relaxed geometry at the GGA-PBE level of DFT.

Results
spin magnetization: 0.0 μB per cell
crystal system: orthorhombic
density of states at the Fermi level: 0.9 states/eV/cell
space-group type: No. 63
formation energy (no corrections): -0.66 eV per atom

a = 3.803 Å, b = 5.762 Å, c = 6.641 Å
α = 90.00°, β = 90.00°, γ = 109.27°
Element x y z (fractional)
1 Pr 0.438 0.877 0.750
2 Pr 0.562 0.123 0.250
3 Be 0.142 0.284 0.925
4 Be 0.858 0.716 0.075
5 Be 0.142 0.284 0.575
6 Be 0.858 0.716 0.425
7 Si 0.719 0.438 0.750
8 Si 0.281 0.562 0.250
9 N 0.000 0.000 0.000
10 N 0.000 0.000 0.500

No. 2
Computed, not measured: crystalline PrSmBeN2 at its relaxed geometry at the GGA-PBE level of DFT.

Results
spin magnetization: 0.0 μB per cell
crystal system: orthorhombic
density of states at the Fermi level: 5.9 states/eV/cell
space-group type: No. 49
formation energy (no corrections): -0.82 eV per atom

a = 5.100 Å, b = 5.212 Å, c = 6.809 Å
α = 89.99°, β = 90.00°, γ = 90.00°
Element x y z (fractional)
1 Pr 0.000 0.500 0.750
2 Pr 0.000 0.500 0.250
3 Sm 0.500 0.000 0.250
4 Sm 0.500 0.000 0.750
5 Be 0.000 0.000 0.000
6 Be 0.000 0.000 0.500
7 N 0.778 0.794 0.000
8 N 0.778 0.206 0.500
9 N 0.222 0.794 0.500
10 N 0.222 0.206 0.000

No. 3
Computed, not measured: crystalline PrBeSnN3 at its relaxed geometry at the GGA-PBE level of DFT.

Results
spin magnetization: 0.0 μB per cell
crystal system: monoclinic
space-group type: No. 11
formation energy (no corrections): -0.58 eV per atom

a = 3.293 Å, b = 6.975 Å, c = 6.970 Å
α = 104.41°, β = 90.00°, γ = 90.00°
Element x y z (fractional)
1 Pr 0.250 0.192 0.231
2 Pr 0.750 0.808 0.769
3 Be 0.250 0.076 0.597
4 Be 0.750 0.924 0.403
5 Sn 0.250 0.663 0.165
6 Sn 0.750 0.337 0.835
7 N 0.750 0.884 0.150
8 N 0.250 0.116 0.850
9 N 0.250 0.829 0.479
10 N 0.750 0.171 0.521
11 N 0.750 0.445 0.165
12 N 0.250 0.555 0.835

No. 4
Computed, not measured: crystalline SrPrBeN2 at its relaxed geometry at the GGA-PBE level of DFT.

Results
spin magnetization: 0.0 μB per cell
crystal system: orthorhombic
density of states at the Fermi level: 3.3 states/eV/cell
space-group type: No. 49
formation energy (no corrections): -0.76 eV per atom

a = 5.395 Å, b = 5.296 Å, c = 6.974 Å
α = 90.00°, β = 90.00°, γ = 90.00°
Element x y z (fractional)
1 Sr 0.000 0.500 0.750
2 Sr 0.000 0.500 0.250
3 Pr 0.500 0.000 0.250
4 Pr 0.500 0.000 0.750
5 Be 0.000 0.000 0.000
6 Be 0.000 0.000 0.500
7 N 0.776 0.820 0.000
8 N 0.776 0.180 0.500
9 N 0.224 0.820 0.500
10 N 0.224 0.180 0.000

No. 5
Computed, not measured: crystalline Pr3Be2TcN6 at its relaxed geometry at the GGA-PBE level of DFT.

Results
spin magnetization: 0.0 μB per cell
crystal system: trigonal
density of states at the Fermi level: 4.1 states/eV/cell
space-group type: No. 164
formation energy (no corrections): -0.75 eV per atom

a = 5.567 Å, b = 5.567 Å, c = 6.164 Å
α = 90.00°, β = 90.00°, γ = 120.00°
Element x y z (fractional)
1 Pr 0.333 0.667 0.650
2 Pr 0.667 0.333 0.350
3 Pr 0.000 0.000 0.000
4 Be 0.667 0.333 0.765
5 Be 0.333 0.667 0.235
6 Tc 0.000 0.000 0.500
7 N 0.656 0.828 0.305
8 N 0.172 0.344 0.305
9 N 0.172 0.828 0.305
10 N 0.828 0.656 0.695
11 N 0.344 0.172 0.695
12 N 0.828 0.172 0.695

No. 6
Computed, not measured: crystalline PrThBeN3 at its relaxed geometry at the GGA-PBE level of DFT.

Results
spin magnetization: 0.0 μB per cell
crystal system: monoclinic
space-group type: No. 11
formation energy (no corrections): -1.29 eV per atom

a = 3.488 Å, b = 7.467 Å, c = 6.972 Å
α = 97.92°, β = 90.00°, γ = 90.00°
Element x y z (fractional)
1 Pr 0.750 0.839 0.791
2 Pr 0.250 0.161 0.209
3 Th 0.250 0.649 0.197
4 Th 0.750 0.351 0.803
5 Be 0.250 0.070 0.599
6 Be 0.750 0.930 0.401
7 N 0.250 0.853 0.498
8 N 0.750 0.875 0.156
9 N 0.750 0.411 0.151
10 N 0.750 0.147 0.502
11 N 0.250 0.589 0.849
12 N 0.250 0.125 0.844